Entry 1:
Hf2InOs | OQMD via LeMat-Bulk | PBE | relaxed; crystal system = cubic; E = -8.48 eV per atom; space group = F-43m
1.0
6.704 0.000 0.000
0.000 6.704 0.000
0.000 0.000 6.704
Hf In Os
8 4 4
Cartesian
0.000 0.000 0.000
0.000 3.352 3.352
1.676 1.676 1.676
1.676 5.028 5.028
3.352 0.000 3.352
3.352 3.352 0.000
5.028 1.676 5.028
5.028 5.028 1.676
0.000 0.000 3.352
0.000 3.352 0.000
3.352 0.000 0.000
3.352 3.352 3.352
1.676 1.676 5.028
1.676 5.028 1.676
5.028 1.676 1.676
5.028 5.028 5.028

---

Entry 2:
Zn3P2S8 | OQMD via LeMat-Bulk | PBE | relaxed; E above lowest polymorph = 0.000 eV/atom; crystal system = tetragonal; E = -4.12 eV per atom; space group = P-4n2
1.0
7.843 0.000 0.000
0.000 7.843 0.000
0.000 0.000 9.138
Zn P S
6 4 16
Cartesian
0.000 0.000 0.000
0.000 3.922 0.169
0.000 3.922 4.400
3.922 0.000 4.738
3.922 0.000 8.969
3.922 3.922 4.569
1.911 2.010 2.284
2.010 5.932 6.853
5.833 1.911 6.853
5.932 5.833 2.284
0.164 5.862 7.868
0.250 1.839 3.423
1.839 7.593 5.715
1.941 4.086 5.839
1.981 0.164 1.270
2.083 3.671 1.146
3.671 5.760 7.992
3.758 1.941 3.299
4.086 5.902 3.299
4.172 2.083 7.992
5.760 4.172 1.146
5.862 7.679 1.270
5.902 3.758 5.839
6.004 0.250 5.715
7.593 6.004 3.423
7.679 1.981 7.868

---

Entry 3:
CsFeCuTe2Se | OQMD via LeMat-Bulk | PBE | relaxed; crystal system = orthorhombic; E = -4.06 eV per atom; space group = Cmcm
1.0
1.960 -8.341 0.000
1.960 8.341 0.000
0.000 0.000 10.359
Cs Fe Cu Te Se
2 2 2 4 2
Cartesian
1.960 4.228 7.769
1.960 -4.228 2.590
1.960 0.000 0.000
1.960 0.000 5.180
1.960 7.834 2.590
1.960 -7.834 7.769
1.960 6.603 0.351
1.960 6.603 4.829
1.960 -6.603 5.530
1.960 -6.603 10.008
1.960 0.901 2.590
1.960 -0.901 7.769

---

Entry 4:
TlTcW | OQMD via LeMat-Bulk | PBE | relaxed; E above lowest polymorph = 0.000 eV/atom; crystal system = cubic; E = -7.57 eV per atom; space group = F-43m
1.0
6.245 0.000 0.000
0.000 6.245 0.000
0.000 0.000 6.245
Tl Tc W
4 4 4
Cartesian
0.000 0.000 0.000
0.000 3.122 3.122
3.122 0.000 3.122
3.122 3.122 0.000
1.561 1.561 1.561
1.561 4.683 4.683
4.683 1.561 4.683
4.683 4.683 1.561
0.000 0.000 3.122
0.000 3.122 0.000
3.122 0.000 0.000
3.122 3.122 3.122

---

Entry 5:
ErMgCd | OQMD via LeMat-Bulk | PBE | relaxed; crystal system = cubic; E = -1.96 eV per atom; space group = F-43m
1.0
7.087 0.000 0.000
0.000 7.087 0.000
0.000 0.000 7.087
Er Mg Cd
4 4 4
Cartesian
0.000 0.000 0.000
0.000 3.543 3.543
3.543 0.000 3.543
3.543 3.543 0.000
1.772 1.772 1.772
1.772 5.315 5.315
5.315 1.772 5.315
5.315 5.315 1.772
1.772 1.772 5.315
1.772 5.315 1.772
5.315 1.772 1.772
5.315 5.315 5.315

---

Entry 6:
DyBeZn | OQMD via LeMat-Bulk | PBE | relaxed; E above lowest polymorph = 0.000 eV/atom; crystal system = cubic; E = -3.00 eV per atom; space group = F-43m
1.0
6.237 0.000 0.000
0.000 6.237 0.000
0.000 0.000 6.237
Dy Be Zn
4 4 4
Cartesian
0.000 0.000 0.000
0.000 3.119 3.119
3.119 0.000 3.119
3.119 3.119 0.000
0.000 0.000 3.119
0.000 3.119 0.000
3.119 0.000 0.000
3.119 3.119 3.119
1.559 1.559 4.678
1.559 4.678 1.559
4.678 1.559 1.559
4.678 4.678 4.678

---

Entry 7:
KNdAsO | OQMD via LeMat-Bulk | PBE | relaxed; E above lowest polymorph = 0.054 eV/atom; crystal system = tetragonal; E = -5.34 eV per atom; space group = P4/nmm
1.0
4.147 0.000 0.000
0.000 4.147 0.000
0.000 0.000 11.033
K Nd As O
2 2 2 2
Cartesian
1.037 3.111 0.000
3.111 1.037 0.000
1.037 1.037 4.393
3.111 3.111 6.640
1.037 1.037 8.555
3.111 3.111 2.478
1.037 3.111 5.516
3.111 1.037 5.516

---

Entry 8:
GaCuMoW | OQMD via LeMat-Bulk | PBE | relaxed; E above lowest polymorph = 0.000 eV/atom; crystal system = cubic; E = -7.37 eV per atom; space group = F-43m
1.0
6.200 0.000 0.000
0.000 6.200 0.000
0.000 0.000 6.200
Ga Cu Mo W
4 4 4 4
Cartesian
0.000 0.000 0.000
0.000 3.100 3.100
3.100 0.000 3.100
3.100 3.100 0.000
1.550 1.550 1.550
1.550 4.650 4.650
4.650 1.550 4.650
4.650 4.650 1.550
1.550 1.550 4.650
1.550 4.650 1.550
4.650 1.550 1.550
4.650 4.650 4.650
0.000 0.000 3.100
0.000 3.100 0.000
3.100 0.000 0.000
3.100 3.100 3.100

---

Entry 9:
AcTlPd | OQMD via LeMat-Bulk | PBE | relaxed; E above lowest polymorph = 0.000 eV/atom; crystal system = cubic; E = -4.41 eV per atom; space group = F-43m
1.0
7.122 0.000 0.000
0.000 7.122 0.000
0.000 0.000 7.122
Ac Tl Pd
4 4 4
Cartesian
0.000 0.000 0.000
0.000 3.561 3.561
3.561 0.000 3.561
3.561 3.561 0.000
0.000 0.000 3.561
0.000 3.561 0.000
3.561 0.000 0.000
3.561 3.561 3.561
1.781 1.781 1.781
1.781 5.342 5.342
5.342 1.781 5.342
5.342 5.342 1.781

---

Entry 10:
NdSmGe | OQMD via LeMat-Bulk | PBE | relaxed; E above lowest polymorph = 0.000 eV/atom; crystal system = tetragonal; E = -5.29 eV per atom; space group = I4/mmm
1.0
4.516 0.000 0.000
0.000 4.516 0.000
0.000 0.000 16.607
Nd Sm Ge
4 4 4
Cartesian
0.000 2.258 0.000
0.000 2.258 8.304
2.258 0.000 0.000
2.258 0.000 8.304
0.000 0.000 3.028
0.000 0.000 13.579
2.258 2.258 5.276
2.258 2.258 11.332
0.000 0.000 6.031
0.000 0.000 10.576
2.258 2.258 2.272
2.258 2.258 14.335

---

Entry 11:
DyTmPd6 | OQMD via LeMat-Bulk | PBE | relaxed; formation enthalpy at 0 K = -0.91 eV per atom; crystal system = tetragonal; E = -5.93 eV per atom; space group = P4/mmm
1.0
4.096 0.000 0.000
0.000 4.096 0.000
0.000 0.000 8.188
Dy Tm Pd
1 1 6
Cartesian
0.000 0.000 0.000
0.000 0.000 4.094
0.000 2.048 2.066
0.000 2.048 6.122
2.048 0.000 2.066
2.048 0.000 6.122
2.048 2.048 0.000
2.048 2.048 4.094

---

Entry 12:
RbErZnTeS2 | OQMD via LeMat-Bulk | PBE | relaxed; crystal system = orthorhombic; E = -3.95 eV per atom; space group = Cmcm
1.0
1.765 -9.043 0.000
1.765 9.043 0.000
0.000 0.000 10.865
Rb Er Zn Te S
2 2 2 2 4
Cartesian
1.765 4.722 8.148
1.765 -4.722 2.716
0.000 0.000 0.000
0.000 0.000 5.432
1.765 7.894 8.148
1.765 -7.894 2.716
1.765 1.264 8.148
1.765 -1.264 2.716
1.765 1.909 0.947
1.765 1.909 4.486
1.765 -1.909 6.379
1.765 -1.909 9.918